Record 1
# PBE-GGA LaCr2GeTe, optimized geometry
data_LaCr2GeTe
_symmetry_space_group_name_H-M 'P 4/m m m'
_symmetry_Int_Tables_number 123
_symmetry_space_group_name_Hall '-P 4 2'
_cell_length_a 4.593
_cell_length_b 4.593
_cell_length_c 6.174
_cell_angle_alpha 90.00
_cell_angle_beta 90.00
_cell_angle_gamma 90.00
loop_
_atom_site_label
_atom_site_fract_x
_atom_site_fract_y
_atom_site_fract_z
La1 0.000 0.000 0.000
Cr1 0.000 0.500 0.000
Ge1 0.500 0.500 0.500
Te1 0.000 0.000 0.500
# **DOS at the Fermi energy**: 10.8 states/eV/cell
# **V**: 26.04 Å³/atom
# **Crystal system**: tetragonal
# **Formation energy from raw total energies**: 8.83 eV/f.u.

Record 2
# PBE-GGA KRuRh2, optimized geometry
data_KRuRh2
_symmetry_space_group_name_H-M 'P m m m'
_symmetry_Int_Tables_number 47
_symmetry_space_group_name_Hall '-P 2 2'
_cell_length_a 2.759
_cell_length_b 3.575
_cell_length_c 7.897
_cell_angle_alpha 90.00
_cell_angle_beta 90.00
_cell_angle_gamma 90.00
loop_
_atom_site_label
_atom_site_fract_x
_atom_site_fract_y
_atom_site_fract_z
K1 0.000 0.000 0.000
Ru1 0.000 0.000 0.500
Rh1 0.500 0.500 0.328
# **DOS at the Fermi energy**: 6.1 states/eV/cell
# **ΔH_f (0 K)**: 0.51 eV per atom
# **V**: 19.47 Å³/atom
# **Crystal system**: orthorhombic

Record 3
# PBE-GGA Ce3Al9Ni2, optimized geometry
data_Ce3Al9Ni2
_symmetry_space_group_name_H-M 'I m m m'
_symmetry_Int_Tables_number 71
_symmetry_space_group_name_Hall '-I 2 2'
_cell_length_a 4.309
_cell_length_b 9.990
_cell_length_c 12.205
_cell_angle_alpha 90.00
_cell_angle_beta 90.00
_cell_angle_gamma 90.00
loop_
_atom_site_label
_atom_site_fract_x
_atom_site_fract_y
_atom_site_fract_z
Ce1 0.000 0.000 0.000
Ce2 0.000 0.000 0.314
Al1 0.000 0.280 0.120
Al2 0.000 0.364 0.342
Al3 0.000 0.500 0.000
Ni1 0.000 0.210 0.500
# **DOS at the Fermi energy**: 29.6 states/eV/cell
# **ΔH_f (0 K)**: -0.46 eV per atom
# **V**: 18.77 Å³/atom
# **Crystal system**: orthorhombic

Record 4
# PBE-GGA CaP2Rh, optimized geometry
data_CaP2Rh
_symmetry_space_group_name_H-M 'C m m m'
_symmetry_Int_Tables_number 65
_symmetry_space_group_name_Hall '-C 2 2'
_cell_length_a 5.548
_cell_length_b 6.721
_cell_length_c 3.586
_cell_angle_alpha 90.00
_cell_angle_beta 90.00
_cell_angle_gamma 90.00
loop_
_atom_site_label
_atom_site_fract_x
_atom_site_fract_y
_atom_site_fract_z
Ca1 0.000 0.000 0.000
P1 0.250 0.250 0.500
Rh1 0.000 0.500 0.000
# **DOS at the Fermi energy**: 5.1 states/eV/cell
# **ΔH_f (0 K)**: -0.26 eV per atom
# **V**: 16.71 Å³/atom
# **Crystal system**: orthorhombic

Record 5
# PBE-GGA Ca2CoTe, optimized geometry
data_Ca2CoTe
_symmetry_space_group_name_H-M 'P 4/m m m'
_symmetry_Int_Tables_number 123
_symmetry_space_group_name_Hall '-P 4 2'
_cell_length_a 3.833
_cell_length_b 3.833
_cell_length_c 6.935
_cell_angle_alpha 90.00
_cell_angle_beta 90.00
_cell_angle_gamma 90.00
loop_
_atom_site_label
_atom_site_fract_x
_atom_site_fract_y
_atom_site_fract_z
Ca1 0.000 0.000 0.239
Co1 0.500 0.500 0.000
Te1 0.500 0.500 0.500
# **DOS at the Fermi energy**: 3.2 states/eV/cell
# **V**: 25.47 Å³/atom
# **Crystal system**: tetragonal
# **Formation energy from raw total energies**: -1.55 eV/f.u.

Record 6
# PBE-GGA K2Be2OsO6, optimized geometry
data_K2Be2OsO6
_symmetry_space_group_name_H-M 'C 1 2/m 1'
_symmetry_Int_Tables_number 12
_symmetry_space_group_name_Hall '-C 2y'
_cell_length_a 9.324
_cell_length_b 5.383
_cell_length_c 6.508
_cell_angle_alpha 90.00
_cell_angle_beta 118.76
_cell_angle_gamma 90.00
loop_
_atom_site_label
_atom_site_fract_x
_atom_site_fract_y
_atom_site_fract_z
K1 0.211 0.000 0.133
Be1 0.104 0.500 0.309
Os1 0.000 0.000 0.500
O1 0.019 0.252 0.302
O2 0.235 0.000 0.702
# **DOS at the Fermi energy**: 5.7 states/eV/cell
# **V**: 13.02 Å³/atom
# **Crystal system**: monoclinic
# **Formation energy from raw total energies**: -19.42 eV/f.u.

Record 7
# PBE-GGA HgTeCl2, optimized geometry
data_HgTeCl2
_symmetry_space_group_name_H-M 'C m m m'
_symmetry_Int_Tables_number 65
_symmetry_space_group_name_Hall '-C 2 2'
_cell_length_a 6.413
_cell_length_b 9.006
_cell_length_c 3.345
_cell_angle_alpha 90.00
_cell_angle_beta 90.00
_cell_angle_gamma 90.00
loop_
_atom_site_label
_atom_site_fract_x
_atom_site_fract_y
_atom_site_fract_z
Hg1 0.000 0.000 0.000
Te1 0.000 0.500 0.000
Cl1 0.250 0.250 0.500
# **DOS at the Fermi energy**: 4.2 states/eV/cell
# **V**: 24.15 Å³/atom
# **Crystal system**: orthorhombic
# **Formation energy from raw total energies**: 0.41 eV/f.u.

Record 8
# PBE-GGA CaEr3Th2As6, optimized geometry
data_CaEr3Th2As6
_symmetry_space_group_name_H-M 'C 1 2/m 1'
_symmetry_Int_Tables_number 12
_symmetry_space_group_name_Hall '-C 2y'
_cell_length_a 18.149
_cell_length_b 4.180
_cell_length_c 8.344
_cell_angle_alpha 90.00
_cell_angle_beta 103.27
_cell_angle_gamma 90.00
loop_
_atom_site_label
_atom_site_fract_x
_atom_site_fract_y
_atom_site_fract_z
Ca1 0.000 0.000 0.000
Er1 0.000 0.000 0.500
Er2 0.165 0.500 0.834
Th1 0.164 0.500 0.328
As1 0.002 0.500 0.743
As2 0.166 0.000 0.588
As3 0.169 0.000 0.078
# **DOS at the Fermi energy**: 3.1 states/eV/cell
# **ΔH_f (0 K)**: -1.44 eV per atom
# **V**: 25.67 Å³/atom
# **Crystal system**: monoclinic

Record 9
# PBE-GGA LiEuNiAg, optimized geometry
data_LiEuNiAg
_symmetry_space_group_name_H-M 'F -4 3 m'
_symmetry_Int_Tables_number 216
_symmetry_space_group_name_Hall 'F -4 2 3'
_cell_length_a 6.712
_cell_length_b 6.712
_cell_length_c 6.712
_cell_angle_alpha 90.00
_cell_angle_beta 90.00
_cell_angle_gamma 90.00
loop_
_atom_site_label
_atom_site_fract_x
_atom_site_fract_y
_atom_site_fract_z
Li1 0.000 0.000 0.000
Eu1 0.250 0.250 0.750
Ni1 0.000 0.000 0.500
Ag1 0.250 0.250 0.250
# **DOS at the Fermi energy**: 36.6 states/eV/cell
# **ΔH_f (0 K)**: -0.02 eV per atom
# **V**: 18.90 Å³/atom
# **Crystal system**: cubic

Record 10
# PBE-GGA LaEr4Sn4, optimized geometry
data_LaEr4Sn4
_symmetry_space_group_name_H-M 'P 42/n'
_symmetry_Int_Tables_number 86
_cell_length_a 9.934
_cell_length_b 9.934
_cell_length_c 6.076
_cell_angle_alpha 90.00
_cell_angle_beta 90.00
_cell_angle_gamma 90.00
loop_
_symmetry_equiv_pos_as_xyz
'x,y,z'
'-x,-y,-z'
'-y,x+1/2,z+1/2'
'y,-x+1/2,-z+1/2'
'-x+1/2,-y+1/2,z'
'x+1/2,y+1/2,-z'
'y+1/2,-x,z+1/2'
'-y+1/2,x,-z+1/2'
loop_
_atom_site_label
_atom_site_fract_x
_atom_site_fract_y
_atom_site_fract_z
La1 0.250 0.250 0.250
Er1 0.106 0.641 0.144
Sn1 0.048 0.602 0.657
# **DOS at the Fermi energy**: 17.9 states/eV/cell
# **ΔH_f (0 K)**: -0.44 eV per atom
# **V**: 33.31 Å³/atom
# **Crystal system**: tetragonal

Record 11
# PBE-GGA TeAu3S, optimized geometry
data_TeAu3S
_symmetry_space_group_name_H-M 'P m -3 m'
_symmetry_Int_Tables_number 221
_symmetry_space_group_name_Hall '-P 4 2 3'
_cell_length_a 4.871
_cell_length_b 4.871
_cell_length_c 4.871
_cell_angle_alpha 90.00
_cell_angle_beta 90.00
_cell_angle_gamma 90.00
loop_
_atom_site_label
_atom_site_fract_x
_atom_site_fract_y
_atom_site_fract_z
Te1 0.000 0.000 0.000
Au1 0.000 0.500 0.500
S1 0.500 0.500 0.500
# **DOS at the Fermi energy**: 3.1 states/eV/cell
# **V**: 23.11 Å³/atom
# **Crystal system**: cubic
# **Formation energy from raw total energies**: 2.26 eV/f.u.

Record 12
# PBE-GGA GdInPdPb, optimized geometry
data_GdInPdPb
_symmetry_space_group_name_H-M 'F -4 3 m'
_symmetry_Int_Tables_number 216
_symmetry_space_group_name_Hall 'F -4 2 3'
_cell_length_a 7.238
_cell_length_b 7.238
_cell_length_c 7.238
_cell_angle_alpha 90.00
_cell_angle_beta 90.00
_cell_angle_gamma 90.00
loop_
_atom_site_label
_atom_site_fract_x
_atom_site_fract_y
_atom_site_fract_z
Gd1 0.000 0.000 0.000
In1 0.000 0.000 0.500
Pd1 0.250 0.250 0.250
Pb1 0.250 0.250 0.750
# **DOS at the Fermi energy**: 8.1 states/eV/cell
# **ΔH_f (0 K)**: -0.41 eV per atom
# **V**: 23.70 Å³/atom
# **Crystal system**: cubic

Record 13
# PBE-GGA BeAsCl2, optimized geometry
data_BeAsCl2
_symmetry_space_group_name_H-M 'P 4/m m m'
_symmetry_Int_Tables_number 123
_symmetry_space_group_name_Hall '-P 4 2'
_cell_length_a 4.387
_cell_length_b 4.387
_cell_length_c 3.849
_cell_angle_alpha 90.00
_cell_angle_beta 90.00
_cell_angle_gamma 90.00
loop_
_atom_site_label
_atom_site_fract_x
_atom_site_fract_y
_atom_site_fract_z
Be1 0.000 0.000 0.000
As1 0.500 0.500 0.000
Cl1 0.000 0.500 0.500
# **DOS at the Fermi energy**: 2.5 states/eV/cell
# **V**: 18.52 Å³/atom
# **Crystal system**: tetragonal
# **Formation energy from raw total energies**: 2.62 eV/f.u.

Record 14
# PBE-GGA Sc2ZnTc, optimized geometry
data_Sc2ZnTc
_symmetry_space_group_name_H-M 'I -4 2 d'
_symmetry_Int_Tables_number 122
_symmetry_space_group_name_Hall 'I -4 2bw'
_cell_length_a 4.005
_cell_length_b 4.005
_cell_length_c 18.895
_cell_angle_alpha 90.00
_cell_angle_beta 90.00
_cell_angle_gamma 90.00
loop_
_atom_site_label
_atom_site_fract_x
_atom_site_fract_y
_atom_site_fract_z
Sc1 0.238 0.250 0.125
Zn1 0.000 0.000 0.500
Tc1 0.000 0.000 0.000
# **DOS at the Fermi energy**: 23.6 states/eV/cell
# **ΔH_f (0 K)**: 0.41 eV per atom
# **V**: 18.94 Å³/atom
# **Crystal system**: tetragonal

Record 15
# PBE-GGA ZrCdRu, optimized geometry
data_ZrCdRu
_symmetry_space_group_name_H-M 'C m c m'
_symmetry_Int_Tables_number 63
_symmetry_space_group_name_Hall '-C 2c 2'
_cell_length_a 3.244
_cell_length_b 15.124
_cell_length_c 4.647
_cell_angle_alpha 90.00
_cell_angle_beta 90.00
_cell_angle_gamma 90.00
loop_
_atom_site_label
_atom_site_fract_x
_atom_site_fract_y
_atom_site_fract_z
Zr1 0.000 0.079 0.250
Cd1 0.000 0.226 0.750
Ru1 0.000 0.432 0.250
# **DOS at the Fermi energy**: 5.2 states/eV/cell
# **ΔH_f (0 K)**: -0.29 eV per atom
# **V**: 19.00 Å³/atom
# **Crystal system**: orthorhombic

Record 16
# PBE-GGA HfMo3As, optimized geometry
data_HfMo3As
_symmetry_space_group_name_H-M 'P m -3 m'
_symmetry_Int_Tables_number 221
_symmetry_space_group_name_Hall '-P 4 2 3'
_cell_length_a 4.805
_cell_length_b 4.805
_cell_length_c 4.805
_cell_angle_alpha 90.00
_cell_angle_beta 90.00
_cell_angle_gamma 90.00
loop_
_atom_site_label
_atom_site_fract_x
_atom_site_fract_y
_atom_site_fract_z
Hf1 0.000 0.000 0.000
Mo1 0.000 0.000 0.500
As1 0.500 0.500 0.500
# **DOS at the Fermi energy**: 7.3 states/eV/cell
# **ΔH_f (0 K)**: 2.04 eV per atom
# **V**: 22.18 Å³/atom
# **Crystal system**: cubic